Entry 1:
Here is a relaxed Be2VBiOs crystal from Alexandria. Energies are from PBE-GGA.

Lattice parameters (Å, degrees): 4.2176 4.9295 4.2176 90.00 90.00 90.00
Positions (direct):
1 Be 0.0000 0.0000 0.5000
2 Be 0.5000 0.0000 0.0000
3 Os 0.5000 0.5000 0.5000
4 Bi 0.0000 0.5000 0.0000
5 V 0.0000 0.0000 0.0000

Properties
- SG = P4/mmm
- ΔH_f (0 K) (eV/atom) = 1.77
- total energy (hartree per atom) = -0.1680
- Fermi-level density of states (states/eV/f.u.) = 3.349
- total magnetic moment (μB/f.u.) = 0.0



Entry 2:
Here is a relaxed YBeBiOs2 crystal from Alexandria. Energies are from PBE-GGA.

Lattice parameters (Å, degrees): 4.9849 5.5520 4.9849 90.00 90.00 90.00
Positions (direct):
1 Y 0.0000 0.5000 0.0000
2 Be 0.5000 0.5000 0.5000
3 Os 0.0000 0.0000 0.5000
4 Os 0.5000 0.0000 0.0000
5 Bi 0.0000 0.0000 0.0000

Properties
- SG = P4/mmm
- ΔH_f (0 K) (eV/atom) = 2.32
- total energy (hartree per atom) = -0.1831
- Fermi-level density of states (states/eV/f.u.) = 4.849
- total magnetic moment (μB/f.u.) = 0.0



Entry 3:
Here is a relaxed Be2BiP2 crystal from Alexandria. Energies are from PBE-GGA.

Lattice parameters (Å, degrees): 3.5547 3.5547 6.9137 75.10 75.10 90.00
Positions (direct):
1 P 0.3521 0.3521 0.2959
2 P 0.6479 0.6479 0.7041
3 Bi 0.0000 0.0000 0.0000
4 Be 0.7500 0.2500 0.5000
5 Be 0.2500 0.7500 0.5000

Properties
- SG = I4/mmm
- ΔH_f (0 K) (eV/atom) = 0.01
- total energy (hartree per atom) = -0.1626
- Fermi-level density of states (states/eV/f.u.) = 1.286
- total magnetic moment (μB/f.u.) = 0.0



Entry 4:
Here is a relaxed BeBiP2 crystal from Alexandria. Energies are from PBE-GGA.

Lattice parameters (Å, degrees): 4.7153 4.7153 4.7153 60.00 60.00 60.00
Positions (direct):
1 P 0.2500 0.2500 0.2500
2 P 0.7500 0.7500 0.7500
3 Bi 0.5000 0.5000 0.5000
4 Be 0.0000 0.0000 0.0000

Properties
- SG = Fm-3m
- ΔH_f (0 K) (eV/atom) = 0.79
- distance to the lowest polymorph of the same formula (eV/atom) = 0.719
- total energy (hartree per atom) = -0.1403
- Fermi-level density of states (states/eV/f.u.) = 2.288
- total magnetic moment (μB/f.u.) = 0.0



Entry 5:
Here is a relaxed BeBiP3 crystal from Alexandria. Energies are from PBE-GGA.

Lattice parameters (Å, degrees): 4.4498 4.4498 4.4498 90.00 90.00 90.00
Positions (direct):
1 P 0.0000 0.5000 0.0000
2 P 0.0000 0.0000 0.5000
3 P 0.5000 0.0000 0.0000
4 Bi 0.5000 0.5000 0.5000
5 Be 0.0000 0.0000 0.0000

Properties
- SG = Pm-3m
- ΔH_f (0 K) (eV/atom) = 0.57
- distance to the lowest polymorph of the same formula (eV/atom) = 0.000
- total energy (hartree per atom) = -0.1544
- Fermi-level density of states (states/eV/f.u.) = 4.122
- total magnetic moment (μB/f.u.) = 0.0



Entry 6:
Here is a relaxed BeBiP2 crystal from Alexandria. Energies are from PBE-GGA.

Lattice parameters (Å, degrees): 5.5977 5.5977 6.8566 65.91 65.91 90.00
Positions (direct):
1 P 0.5350 0.1250 0.2500
2 P 0.2150 0.6250 0.2500
3 P 0.3750 0.4650 0.7500
4 P 0.8750 0.7850 0.7500
5 Bi 0.0000 0.0000 0.0000
6 Bi 0.7500 0.2500 0.5000
7 Be 0.5000 0.5000 0.0000
8 Be 0.2500 0.7500 0.5000

Properties
- SG = I-42d
- ΔH_f (0 K) (eV/atom) = 0.07
- distance to the lowest polymorph of the same formula (eV/atom) = 0.000
- total energy (hartree per atom) = -0.1667
- Fermi-level density of states (states/eV/f.u.) = 1.954
- total magnetic moment (μB/f.u.) = 0.0



Entry 7:
Here is a relaxed BeBiP3 crystal from Alexandria. Energies are from PBE-GGA.

Lattice parameters (Å, degrees): 5.2359 5.2359 5.2359 90.00 90.00 90.00
Last column: magnetic moment on the atom in μB.
Positions (direct):
1 P 0.0000 0.5000 0.0000  0.17
2 P 0.0000 0.0000 0.5000  0.13
3 P 0.5000 0.0000 0.0000  0.11
4 Bi 0.0000 0.0000 0.0000  0.00
5 Be 0.5000 0.5000 0.5000  -0.02

Properties
- SG = Pm-3m
- ΔH_f (0 K) (eV/atom) = 1.88
- distance to the lowest polymorph of the same formula (eV/atom) = 1.317
- total energy (hartree per atom) = -0.1060
- Fermi-level density of states (states/eV/f.u.) = 6.071
- total magnetic moment (μB/f.u.) = 0.9



Entry 8:
Here is a relaxed BeBi3P crystal from Alexandria. Energies are from PBE-GGA.

Lattice parameters (Å, degrees): 5.0537 5.0537 5.0537 90.00 90.00 90.00
Positions (direct):
1 P 0.5000 0.5000 0.5000
2 Bi 0.0000 0.5000 0.0000
3 Bi 0.0000 0.0000 0.5000
4 Bi 0.5000 0.0000 0.0000
5 Be 0.0000 0.0000 0.0000

Properties
- SG = Pm-3m
- ΔH_f (0 K) (eV/atom) = 0.72
- distance to the lowest polymorph of the same formula (eV/atom) = 0.000
- total energy (hartree per atom) = -0.1262
- Fermi-level density of states (states/eV/f.u.) = 5.905
- total magnetic moment (μB/f.u.) = 0.0